# Sr3Pm GGA-PBE relaxed
# Raw total energy = -2.2939 eV per atom
# Excess energy over the best structure of this formula in the dataset = 0 meV per atom
# ΔE_f = 0.155 eV per atom
# Calculated volume = 188 Å³/cell
data_Sr3Pm
_chemical_formula_sum 'Sr3 Pm1'
_symmetry_space_group_name_H-M 'P 1'
_symmetry_Int_Tables_number 1
_cell_length_a 7.7989
_cell_length_b 7.7989
_cell_length_c 7.7989
_cell_angle_alpha 150.14
_cell_angle_beta 62.59
_cell_angle_gamma 126.38
loop_
_symmetry_equiv_pos_as_xyz
'x,y,z'
loop_
_atom_site_label
_atom_site_type_symbol
_atom_site_fract_x
_atom_site_fract_y
_atom_site_fract_z
Sr1 Sr 0.0000 0.0000 0.0000
Sr2 Sr 0.4172 0.6593 0.7578
Sr3 Sr 0.9015 0.6593 0.2422
Pm1 Pm 0.4978 0.9978 0.5000


# Sc3Ni8Bi GGA-PBE relaxed
# Raw total energy = -6.1382 eV per atom
# ΔE_f = -0.378 eV per atom
# Calculated volume = 170 Å³/cell
data_Sc3Ni8Bi
_chemical_formula_sum 'Sc3 Ni8 Bi1'
_symmetry_space_group_name_H-M 'P 1'
_symmetry_Int_Tables_number 1
_cell_length_a 4.9392
_cell_length_b 4.9392
_cell_length_c 8.0543
_cell_angle_alpha 90.00
_cell_angle_beta 90.00
_cell_angle_gamma 120.00
loop_
_symmetry_equiv_pos_as_xyz
'x,y,z'
loop_
_atom_site_label
_atom_site_type_symbol
_atom_site_fract_x
_atom_site_fract_y
_atom_site_fract_z
Sc1 Sc 0.0000 0.0000 0.0000
Sc2 Sc 0.0000 0.0000 0.3771
Sc3 Sc 0.3333 0.6667 0.8638
Ni1 Ni 0.0006 0.5003 0.1830
Ni2 Ni 0.3323 0.1661 0.6994
Ni3 Ni 0.4997 0.5003 0.1830
Ni4 Ni 0.4997 0.9994 0.1830
Ni5 Ni 0.6667 0.3333 0.4382
Ni6 Ni 0.6667 0.3333 0.9443
Ni7 Ni 0.8339 0.1661 0.6994
Ni8 Ni 0.8339 0.6677 0.6994
Bi1 Bi 0.3333 0.6667 0.4921


# ZnCuTe2 GGA-PBE relaxed
# Raw total energy = -3.0905 eV per atom
# Excess energy over the best structure of this formula in the dataset = 47 meV per atom
# Formation energy (no corrections) = -0.177 eV per atom
# Calculated volume = 882 Å³/cell
data_ZnCuTe2
_chemical_formula_sum 'Zn8 Cu8 Te16'
_symmetry_space_group_name_H-M 'P 1'
_symmetry_Int_Tables_number 1
_cell_length_a 8.5390
_cell_length_b 8.5390
_cell_length_c 12.0921
_cell_angle_alpha 90.18
_cell_angle_beta 90.18
_cell_angle_gamma 90.02
loop_
_symmetry_equiv_pos_as_xyz
'x,y,z'
loop_
_atom_site_label
_atom_site_type_symbol
_atom_site_fract_x
_atom_site_fract_y
_atom_site_fract_z
Zn1 Zn 0.0033 0.7682 0.6167
Zn2 Zn 0.2246 0.4996 0.8420
Zn3 Zn 0.2318 0.9967 0.8833
Zn4 Zn 0.4996 0.2246 0.3420
Zn5 Zn 0.5004 0.7754 0.6580
Zn6 Zn 0.7682 0.0033 0.1167
Zn7 Zn 0.7754 0.5004 0.1580
Zn8 Zn 0.9967 0.2318 0.3833
Cu1 Cu 0.0024 0.2250 0.6000
Cu2 Cu 0.2250 0.0024 0.1000
Cu3 Cu 0.2303 0.4988 0.1530
Cu4 Cu 0.4988 0.2303 0.6530
Cu5 Cu 0.5012 0.7697 0.3470
Cu6 Cu 0.7697 0.5012 0.8470
Cu7 Cu 0.7750 0.9976 0.9000
Cu8 Cu 0.9976 0.7750 0.4000
Te1 Te 0.0084 0.9916 0.2500
Te2 Te 0.0106 0.5107 0.2986
Te3 Te 0.1696 0.2766 0.0082
Te4 Te 0.1698 0.7232 0.0078
Te5 Te 0.2766 0.1696 0.5082
Te6 Te 0.2768 0.8302 0.4922
Te7 Te 0.4893 0.9894 0.2014
Te8 Te 0.4961 0.5039 0.2500
Te9 Te 0.5039 0.4961 0.7500
Te10 Te 0.5107 0.0106 0.7986
Te11 Te 0.7232 0.1698 0.5078
Te12 Te 0.7234 0.8304 0.4918
Te13 Te 0.8302 0.2768 0.9922
Te14 Te 0.8304 0.7234 0.9918
Te15 Te 0.9894 0.4893 0.7014
Te16 Te 0.9916 0.0084 0.7500